Version i
PBE LaSm2Er6, relaxed; space group = P2_1/c; calculated density = 8.0 Mg/m³; Fermi-level density of states = 25.4 states/eV/cell
1.0
8.554 0.000 0.000
0.000 7.974 0.000
-8.369 0.000 8.786
La Sm Er
2 4 12
Direct
0.000 0.000 0.000
0.000 0.500 0.500
0.251 0.128 0.829
0.251 0.372 0.329
0.749 0.628 0.671
0.749 0.872 0.171
0.106 0.127 0.467
0.106 0.373 0.967
0.299 0.647 0.879
0.299 0.853 0.379
0.454 0.652 0.231
0.454 0.848 0.731
0.546 0.152 0.269
0.546 0.348 0.769
0.701 0.147 0.621
0.701 0.353 0.121
0.894 0.627 0.033
0.894 0.873 0.533

***

Version ii
PBE LaSm2Er6, relaxed; space group = P-3m1; calculated density = 8.3 Mg/m³; Fermi-level density of states = 14.2 states/eV/cell
1.0
7.434 0.000 0.000
-3.717 6.438 0.000
0.000 0.000 6.045
La Sm Er
1 2 6
Direct
0.000 0.000 0.000
0.333 0.667 0.215
0.667 0.333 0.785
0.187 0.373 0.702
0.187 0.813 0.702
0.373 0.187 0.298
0.627 0.813 0.702
0.813 0.187 0.298
0.813 0.627 0.298

***

Stability, lowest: version ii

***

Version i
PBE LaSmErTm, relaxed; space group = F-43m; calculated density = 7.8 Mg/m³; Fermi-level density of states = 7.0 states/eV/cell
1.0
0.000 4.053 4.053
4.053 0.000 4.053
4.053 4.053 0.000
La Sm Er Tm
1 1 1 1
Direct
0.000 0.000 0.000
0.500 0.500 0.500
0.750 0.750 0.750
0.250 0.250 0.250

***

Version ii
PBE LaSmErTm, relaxed; space group = Cm; calculated density = 7.8 Mg/m³; Fermi-level density of states = 7.1 states/eV/cell
1.0
6.212 -2.924 0.000
6.212 2.924 0.000
-1.169 0.000 3.660
La Sm Er Tm
1 1 1 1
Direct
0.000 0.000 0.000
0.731 0.731 0.198
0.254 0.254 0.727
0.488 0.488 0.472

***

Stability, lowest: version ii

***

Version i
PBE La2Er3Sn4, relaxed; space group = P2_1/c; calculated density = 7.9 Mg/m³; Fermi-level density of states = 14.3 states/eV/cell
1.0
8.348 0.000 0.000
0.000 8.353 0.000
-2.808 0.000 7.605
La Er Sn
4 6 8
Direct
0.192 0.176 0.063
0.192 0.324 0.563
0.808 0.676 0.437
0.808 0.824 0.937
0.249 0.666 0.244
0.249 0.834 0.744
0.500 0.000 0.500
0.500 0.500 0.000
0.751 0.166 0.256
0.751 0.334 0.756
0.084 0.541 0.847
0.084 0.959 0.347
0.492 0.135 0.862
0.492 0.365 0.362
0.508 0.635 0.638
0.508 0.865 0.138
0.916 0.041 0.653
0.916 0.459 0.153

***

Version ii
PBE La2Er3Sn4, relaxed; space group = Cmce; calculated density = 7.7 Mg/m³; Fermi-level density of states = 9.0 states/eV/cell
1.0
3.533 -8.621 0.000
3.533 8.621 0.000
0.000 0.000 8.936
La Er Sn
4 6 8
Direct
0.111 0.889 0.912
0.389 0.611 0.412
0.611 0.389 0.588
0.889 0.111 0.088
0.000 0.000 0.500
0.042 0.458 0.750
0.458 0.042 0.250
0.500 0.500 0.000
0.542 0.958 0.750
0.958 0.542 0.250
0.186 0.814 0.554
0.216 0.284 0.750
0.284 0.216 0.250
0.314 0.686 0.054
0.686 0.314 0.946
0.716 0.784 0.750
0.784 0.716 0.250
0.814 0.186 0.446

***

Stability, lowest: version ii

***

Version i
PBE LaErSn, relaxed; space group = I4/mmm; calculated density = 7.4 Mg/m³; Fermi-level density of states = 5.8 states/eV/cell
1.0
-2.343 2.343 8.656
2.343 -2.343 8.656
2.343 2.343 -8.656
La Er Sn
2 2 2
Direct
0.177 0.177 0.000
0.823 0.823 0.000
0.000 0.500 0.500
0.500 0.000 0.500
0.372 0.372 0.000
0.628 0.628 0.000

***

Version ii
PBE LaErSn, relaxed; space group = C2/m; calculated density = 7.8 Mg/m³; Fermi-level density of states = 5.8 states/eV/cell
1.0
4.431 -2.584 0.000
4.431 2.584 0.000
-0.097 0.000 7.861
La Er Sn
2 2 2
Direct
0.167 0.167 0.389
0.833 0.833 0.611
0.167 0.167 0.902
0.833 0.833 0.098
0.500 0.500 0.216
0.500 0.500 0.784

***

Version iii
PBE LaErSn, relaxed; space group = P3m1; calculated density = 7.3 Mg/m³; Fermi-level density of states = 1.9 states/eV/cell
1.0
5.130 0.000 0.000
-2.565 4.443 0.000
0.000 0.000 4.230
La Er Sn
1 1 1
Direct
0.000 0.000 0.000
0.333 0.667 0.504
0.667 0.333 0.490

***

Version iv
PBE LaErSn, relaxed; space group = Cmcm; calculated density = 7.9 Mg/m³; Fermi-level density of states = 3.8 states/eV/cell
1.0
2.215 -8.243 0.000
2.215 8.243 0.000
0.000 0.000 4.907
La Er Sn
2 2 2
Direct
0.071 0.929 0.750
0.929 0.071 0.250
0.254 0.746 0.250
0.746 0.254 0.750
0.388 0.612 0.750
0.612 0.388 0.250

***

Stability, lowest: version ii